# Sr2MnSe | Alexandria | PBE | optimized geometry
data_Sr2MnSe
_cell_length_a 4.525
_cell_length_b 4.525
_cell_length_c 6.446
_cell_angle_alpha 90.00
_cell_angle_beta 90.00
_cell_angle_gamma 90.00
_symmetry_space_group_name_H-M 'P 4 m m'
_symmetry_Int_Tables_number 99
loop_
_symmetry_equiv_pos_as_xyz
'x,y,z'
'-y,x,z'
'-x,-y,z'
'y,-x,z'
'-x,y,z'
'y,x,z'
'x,-y,z'
'-y,-x,z'
loop_
_atom_site_label
_atom_site_fract_x
_atom_site_fract_y
_atom_site_fract_z
Sr1 0.000 0.000 0.000
Sr2 0.500 0.500 0.477
Mn1 0.000 0.000 0.502
Se1 0.500 0.500 0.978
# size of the total moment: 3.58 μB/f.u.
# V: 33.001 Å³ per atom
# formation energy (no corrections): -380 meV/atom